First-principles (PBE) data for a relaxed Zn2AgSe crystal, as listed in the Alexandria database.

Geometry as extended XYZ:
```
4
Lattice="-1.786 1.029 -2.968 2.196 -2.033 -2.026 -3.594 -4.487 0.607" Properties=species:S:1:pos:R:3 pbc="T T T"
Se -2.770 -4.215 -1.995
Zn -0.786 -1.738 -2.330
Zn -3.467 -4.328 0.585
Ag -1.554 -1.940 0.262
```

Its space group is P4mm. The value obtained for the uncorrected energy is -2.235 eV per atom. As for the formation energy from raw total energies: -0.014 eV/atom. The volume comes out at 18.9 Å³/atom.


First-principles (PBE) data for a relaxed Zn2AgSe crystal, as listed in the Alexandria database.

Geometry as extended XYZ:
```
4
Lattice="-6.357 1.732 -1.313 -6.516 -0.896 1.370 -5.732 2.667 2.273" Properties=species:S:1:pos:R:3 pbc="T T T"
Ag -4.651 0.875 0.583
Zn -9.235 1.738 1.157
Zn -0.067 0.013 0.008
Se -13.954 2.626 1.748
```

Its space group is R-3m. The value obtained for the uncorrected energy is -2.276 eV per atom. As for the formation energy from raw total energies: -0.056 eV/atom. The volume comes out at 19.4 Å³/atom.


First-principles (PBE) data for a relaxed ZnAg2Se crystal, as listed in the Alexandria database.

Geometry as extended XYZ:
```
4
Lattice="0.000 3.344 3.344 3.344 0.000 3.344 3.344 3.344 0.000" Properties=species:S:1:pos:R:3 pbc="T T T"
Se 3.344 3.344 3.344
Ag 5.015 5.015 5.015
Ag 1.672 1.672 1.672
Zn 0.000 0.000 0.000
```

For the energy above the lowest structure with this stoichiometry, the calculation gives 8.35 kJ/mol of atoms. Its space group is Fm-3m. The value obtained for the uncorrected energy is -2.538 eV per atom. As for the formation energy from raw total energies: 0.078 eV/atom. The volume comes out at 18.7 Å³/atom.


First-principles (PBE) data for a relaxed ZnAg2Se crystal, as listed in the Alexandria database.

Geometry as extended XYZ:
```
4
Lattice="-0.707 3.171 2.379 1.403 -1.326 2.184 5.590 2.728 -1.973" Properties=species:S:1:pos:R:3 pbc="T T T"
Ag 3.369 1.140 -0.518
Ag 5.717 2.288 -1.350
Se 1.394 1.936 1.242
Zn 4.891 2.637 1.348
```

For the energy above the lowest structure with this stoichiometry, the calculation gives 3.81 kJ/mol of atoms. Its space group is P2/m. The value obtained for the uncorrected energy is -2.585 eV per atom. As for the formation energy from raw total energies: 0.031 eV/atom. The volume comes out at 19.1 Å³/atom.


First-principles (PBE) data for a relaxed ZnAgSe2 crystal, as listed in the Alexandria database.

Geometry as extended XYZ:
```
4
Lattice="3.365 0.000 0.000 0.000 3.365 0.000 0.000 0.000 6.911" Properties=species:S:1:pos:R:3 pbc="T T T"
Se 0.000 0.000 3.312
Se 0.000 0.000 0.143
Zn 1.683 1.683 1.728
Ag 1.683 1.683 5.183
```

Its space group is P4/mmm. The value obtained for the uncorrected energy is -2.597 eV per atom. As for the formation energy from raw total energies: 0.177 eV/atom. The volume comes out at 19.6 Å³/atom.


First-principles (PBE) data for a relaxed ZnAg2Se crystal, as listed in the Alexandria database.

Geometry as extended XYZ:
```
4
Lattice="-0.293 2.854 -0.819 -0.809 -0.869 -2.737 -7.907 -0.129 2.377" Properties=species:S:1:pos:R:3 pbc="T T T"
Ag -7.789 -0.127 2.341
Ag -2.431 0.962 -1.213
Zn -6.603 0.894 0.041
Se -4.046 -0.066 1.216
```

For the energy above the lowest structure with this stoichiometry, the calculation gives 11.51 kJ/mol of atoms. Its space group is P4mm. The value obtained for the uncorrected energy is -2.505 eV per atom. As for the formation energy from raw total energies: 0.111 eV/atom. The volume comes out at 18.4 Å³/atom.


First-principles (PBE) data for a relaxed ZnAg2Se crystal, as listed in the Alexandria database.

Geometry as extended XYZ:
```
4
Lattice="3.638 0.000 0.000 0.000 3.638 0.000 0.000 0.000 5.594" Properties=species:S:1:pos:R:3 pbc="T T T"
Zn 1.819 1.819 4.194
Ag 0.000 0.000 5.589
Ag 1.819 1.819 1.340
Se 0.000 0.000 2.862
```

For the energy above the lowest structure with this stoichiometry, the calculation gives 0.00 kJ/mol of atoms. Its space group is P4mm. The value obtained for the uncorrected energy is -2.624 eV per atom. As for the formation energy from raw total energies: -0.009 eV/atom. The volume comes out at 18.5 Å³/atom.


First-principles (PBE) data for a relaxed Zn2AgSe crystal, as listed in the Alexandria database.

Geometry as extended XYZ:
```
8
Lattice="6.595 0.000 0.000 0.000 6.595 0.000 3.298 3.298 4.210" Properties=species:S:1:pos:R:3 pbc="T T T"
Zn 8.244 8.133 3.157
Zn 1.760 4.947 1.052
Zn 4.947 5.058 3.157
Zn 4.836 1.649 1.052
Ag 0.000 0.000 0.000
Ag 6.595 3.298 2.105
Se 3.298 3.298 0.000
Se 3.298 6.595 2.105
```

Its space group is I-42d. The value obtained for the uncorrected energy is -2.173 eV per atom. As for the formation energy from raw total energies: 0.048 eV/atom. The volume comes out at 22.9 Å³/atom.


First-principles (PBE) data for a relaxed Zn3AgSe crystal, as listed in the Alexandria database.

Geometry as extended XYZ:
```
5
Lattice="-4.083 2.054 1.996 -2.182 -4.482 0.149 1.855 -0.752 4.568" Properties=species:S:1:pos:R:3 pbc="T T T"
Zn 0.928 -0.376 2.284
Zn -1.091 -2.241 0.074
Zn -2.042 1.027 0.998
Ag -2.205 -1.590 3.357
Se 0.000 0.000 0.000
```

For the energy above the lowest structure with this stoichiometry, the calculation gives 10.73 kJ/mol of atoms. Its space group is Pm-3m. The value obtained for the uncorrected energy is -1.525 eV per atom. As for the formation energy from raw total energies: 0.507 eV/atom. The volume comes out at 24.8 Å³/atom.


First-principles (PBE) data for a relaxed ZnAgSe2 crystal, as listed in the Alexandria database.

Geometry as extended XYZ:
```
4
Lattice="3.733 0.000 0.000 0.000 7.359 0.000 0.000 0.000 3.597" Properties=species:S:1:pos:R:3 pbc="T T T"
Zn 1.867 0.000 1.799
Ag 0.000 3.679 1.799
Se 0.000 0.000 0.000
Se 1.867 3.679 0.000
```

Its space group is Pmmm. The value obtained for the uncorrected energy is -2.751 eV per atom. As for the formation energy from raw total energies: 0.023 eV/atom. The volume comes out at 24.7 Å³/atom.


First-principles (PBE) data for a relaxed ZnAg2Se crystal, as listed in the Alexandria database.

Geometry as extended XYZ:
```
4
Lattice="-2.086 2.191 -4.023 -4.521 -0.332 -2.189 -1.739 3.348 2.297" Properties=species:S:1:pos:R:3 pbc="T T T"
Ag -6.183 3.916 -2.822
Ag -0.179 0.175 0.003
Zn -2.157 1.039 -1.434
Se -4.000 2.682 -1.621
```

For the energy above the lowest structure with this stoichiometry, the calculation gives 5.91 kJ/mol of atoms. Its space group is Cm. The value obtained for the uncorrected energy is -2.563 eV per atom. As for the formation energy from raw total energies: 0.052 eV/atom. The volume comes out at 20.2 Å³/atom.


First-principles (PBE) data for a relaxed Zn2AgSe crystal, as listed in the Alexandria database.

Geometry as extended XYZ:
```
4
Lattice="5.235 0.224 -0.326 1.941 4.867 0.326 -3.345 -2.888 2.834" Properties=species:S:1:pos:R:3 pbc="T T T"
Se 1.092 2.262 1.580
Ag 2.739 -0.059 1.254
Zn 3.569 2.532 0.000
Zn 0.018 0.013 0.000
```

Its space group is Immm. The value obtained for the uncorrected energy is -2.102 eV per atom. As for the formation energy from raw total energies: 0.119 eV/atom. The volume comes out at 18.0 Å³/atom.


First-principles (PBE) data for a relaxed ZnAgSe2 crystal, as listed in the Alexandria database.

Geometry as extended XYZ:
```
4
Lattice="-5.913 2.132 -0.453 -4.711 -1.190 4.013 5.973 1.958 -0.450" Properties=species:S:1:pos:R:3 pbc="T T T"
Se -6.336 0.562 2.123
Se -9.601 0.851 3.217
Zn -2.626 2.280 0.439
Ag -2.025 0.620 2.671
```

Its space group is Immm. The value obtained for the uncorrected energy is -2.831 eV per atom. As for the formation energy from raw total energies: -0.058 eV/atom. The volume comes out at 22.7 Å³/atom.


First-principles (PBE) data for a relaxed Zn2AgSe crystal, as listed in the Alexandria database.

Geometry as extended XYZ:
```
4
Lattice="4.629 -0.030 -0.023 -1.586 4.349 -0.023 0.017 0.024 3.666" Properties=species:S:1:pos:R:3 pbc="T T T"
Ag 2.323 -0.003 1.822
Zn 0.000 0.000 0.000
Zn 1.522 2.159 -0.023
Se -0.784 2.187 1.822
```

Its space group is Cmmm. The value obtained for the uncorrected energy is -2.164 eV per atom. As for the formation energy from raw total energies: 0.057 eV/atom. The volume comes out at 18.4 Å³/atom.


First-principles (PBE) data for a relaxed ZnAgSe2 crystal, as listed in the Alexandria database.

Geometry as extended XYZ:
```
4
Lattice="-1.677 1.131 2.045 -2.047 -1.925 -0.614 3.938 -6.331 6.732" Properties=species:S:1:pos:R:3 pbc="T T T"
Ag 0.951 -4.920 5.525
Se -0.620 -2.393 2.838
Se 3.741 -6.015 6.395
Zn 2.049 -3.295 3.503
```

Its space group is P4mm. The value obtained for the uncorrected energy is -2.634 eV per atom. As for the formation energy from raw total energies: 0.139 eV/atom. The volume comes out at 20.8 Å³/atom.


First-principles (PBE) data for a relaxed ZnAg2Se crystal, as listed in the Alexandria database.

Geometry as extended XYZ:
```
4
Lattice="9.475 0.046 0.027 8.984 3.011 0.027 8.984 1.488 2.618" Properties=species:S:1:pos:R:3 pbc="T T T"
Ag 0.156 0.026 0.015
Ag 13.565 2.247 1.321
Se 6.861 1.136 0.668
Zn 20.582 3.409 2.004
```

For the energy above the lowest structure with this stoichiometry, the calculation gives 11.21 kJ/mol of atoms. Its space group is R-3m. The value obtained for the uncorrected energy is -2.508 eV per atom. As for the formation energy from raw total energies: 0.107 eV/atom. The volume comes out at 18.2 Å³/atom.


First-principles (PBE) data for a relaxed ZnAg2Se crystal, as listed in the Alexandria database.

Geometry as extended XYZ:
```
4
Lattice="-3.051 -1.483 3.290 1.588 -2.154 3.895 -0.227 2.201 4.176" Properties=species:S:1:pos:R:3 pbc="T T T"
Ag -0.422 -0.359 2.840
Ag 0.000 0.000 0.000
Zn -1.267 -1.077 8.521
Se -0.845 -0.718 5.681
```

For the energy above the lowest structure with this stoichiometry, the calculation gives 11.48 kJ/mol of atoms. Its space group is F-43m. The value obtained for the uncorrected energy is -2.505 eV per atom. As for the formation energy from raw total energies: 0.110 eV/atom. The volume comes out at 18.7 Å³/atom.


First-principles (PBE) data for a relaxed ZnAgSe2 crystal, as listed in the Alexandria database.

Geometry as extended XYZ:
```
4
Lattice="6.975 0.009 -0.009 5.138 4.717 0.009 -6.005 -2.496 2.523" Properties=species:S:1:pos:R:3 pbc="T T T"
Se 11.654 4.546 0.000
Se 2.867 -0.314 1.257
Ag 3.163 2.514 1.266
Zn 6.594 2.572 0.000
```

Its space group is Imm2. The value obtained for the uncorrected energy is -2.816 eV per atom. As for the formation energy from raw total energies: -0.042 eV/atom. The volume comes out at 20.7 Å³/atom.


First-principles (PBE) data for a relaxed Zn2AgSe crystal, as listed in the Alexandria database.

Geometry as extended XYZ:
```
4
Lattice="2.849 0.037 0.000 -0.413 2.819 0.000 0.000 0.000 8.982" Properties=species:S:1:pos:R:3 pbc="T T T"
Ag 0.000 0.000 4.200
Zn 1.218 1.428 2.206
Zn 0.000 0.000 0.265
Se 1.218 1.428 6.801
```

Its space group is Cmm2. The value obtained for the uncorrected energy is -2.087 eV per atom. As for the formation energy from raw total energies: 0.134 eV/atom. The volume comes out at 18.1 Å³/atom.


First-principles (PBE) data for a relaxed Zn2AgSe crystal, as listed in the Alexandria database.

Geometry as extended XYZ:
```
4
Lattice="3.748 0.000 0.000 0.000 5.738 0.000 0.000 0.000 3.648" Properties=species:S:1:pos:R:3 pbc="T T T"
Se 0.000 2.869 1.824
Zn 1.874 2.869 0.000
Zn 0.000 0.000 0.000
Ag 1.874 0.000 1.824
```

Its space group is Pmmm. The value obtained for the uncorrected energy is -2.168 eV per atom. As for the formation energy from raw total energies: 0.053 eV/atom. The volume comes out at 19.6 Å³/atom.